VASP calculation (meta-GGA SCAN) on FeNi2Pt at its PBEsol-relaxed geometry.

Lattice parameters (Å, degrees): 3.6371 3.6371 4.4261 114.26 114.26 90.00
With the nearest neighbours (Å) after each atom.
Element x y z (fractional)
Ni 0.7500 0.2500 0.5000  4 Pt 2.56, 4 Fe 2.56, 4 Ni 2.57
Fe 0.0000 0.0000 0.0000  8 Ni 2.56, 4 Pt 2.57
Pt 0.5000 0.5000 0.0000  8 Ni 2.56, 4 Fe 2.57
Ni 0.2500 0.7500 0.5000  4 Fe 2.56, 4 Pt 2.56, 4 Ni 2.57

Results
Total magnetic moment (μB/cell): 5.14
DFT total energy (Ry per atom): -2.2359

---

VASP calculation (meta-GGA SCAN) on FeNi2Pt at its PBEsol-relaxed geometry.

Lattice parameters (Å, degrees): 2.6185 4.3941 4.3941 108.69 90.00 90.00
With the nearest neighbours (Å) after each atom.
Element x y z (fractional)
Ni 0.0000 0.5000 0.0000  4 Fe 2.56, 4 Pt 2.56, 4 Ni 2.56-2.62
Ni 0.0000 0.0000 0.5000  4 Pt 2.56, 4 Fe 2.56, 4 Ni 2.56-2.62
Fe 0.5000 0.5000 0.5000  8 Ni 2.56, 2 Pt 2.56, 2 Fe 2.62
Pt 0.5000 0.0000 0.0000  8 Ni 2.56, 2 Fe 2.56, 2 Pt 2.62

Results
Total magnetic moment (μB/cell): 5.03
DFT total energy (Ry per atom): -2.2321

---

VASP calculation (meta-GGA SCAN) on FeNiPt at its PBEsol-relaxed geometry.

Lattice parameters (Å, degrees): 3.9274 3.9274 3.9274 60.00 60.00 60.00
With the nearest neighbours (Å) after each atom.
Element x y z (fractional)
Pt 0.5000 0.5000 0.5000  4 Fe 2.41
Fe 0.2500 0.2500 0.2500  4 Ni 2.41, 4 Pt 2.41
Ni 0.0000 0.0000 0.0000  4 Fe 2.41

Results
Total magnetic moment (μB/cell): 4.30
DFT total energy (Ry per atom): -2.5602

---

VASP calculation (meta-GGA SCAN) on Fe2NiPt at its PBEsol-relaxed geometry.

Lattice parameters (Å, degrees): 2.6035 4.1743 4.4687 90.00 90.00 90.00
With the nearest neighbours (Å) after each atom.
Element x y z (fractional)
Fe 0.0000 0.0000 0.0351  4 Ni 2.50-2.67, 4 Fe 2.56-2.60, 4 Pt 2.58
Ni 0.5000 0.0000 0.5575  8 Fe 2.50-2.67, 2 Ni 2.60, 2 Pt 2.61
Fe 0.0000 0.5000 0.7017  4 Ni 2.54, 4 Fe 2.56-2.60, 4 Pt 2.57-2.60
Pt 0.5000 0.5000 0.2057  8 Fe 2.57-2.60, 2 Pt 2.60, 2 Ni 2.61

Results
Total magnetic moment (μB/cell): 6.92
DFT total energy (Ry per atom): -2.2701

---

VASP calculation (meta-GGA SCAN) on RbFe2ReNi at its PBEsol-relaxed geometry.

Lattice parameters (Å, degrees): 4.2974 4.3886 4.3886 90.00 90.00 90.00
With the nearest neighbours (Å) after each atom.
Element x y z (fractional)
Rb 0.0000 0.0000 0.0000  2 Ni 2.15, 4 Fe 2.19
Fe 0.0000 0.0000 0.5000  2 Rb 2.19
Ni 0.5000 0.0000 0.0000  2 Rb 2.15
Re 0.5000 0.5000 0.5000  8 Fe 3.07, 4 Ni 3.10
Fe 0.0000 0.5000 0.0000  2 Rb 2.19

Results
Total magnetic moment (μB/cell): 8.30
DFT total energy (Ry per atom): -1.8904

---

VASP calculation (meta-GGA SCAN) on FeReNi2 at its PBEsol-relaxed geometry.

Lattice parameters (Å, degrees): 2.5306 4.1006 4.4597 90.00 90.00 90.00
With the nearest neighbours (Å) after each atom.
Element x y z (fractional)
Ni 0.0000 0.0000 0.0322  4 Ni 2.47-2.53, 4 Fe 2.54, 4 Re 2.56-2.57
Ni 0.0000 0.5000 0.7226  4 Ni 2.47-2.53, 4 Fe 2.52-2.61, 4 Re 2.55
Re 0.5000 0.0000 0.5335  2 Fe 2.50, 2 Re 2.53, 8 Ni 2.55-2.57
Fe 0.5000 0.5000 0.2118  2 Re 2.50, 8 Ni 2.52-2.61, 2 Fe 2.53

Results
Total magnetic moment (μB/cell): 3.23
DFT total energy (Ry per atom): -2.2346

---

VASP calculation (meta-GGA SCAN) on FeRe2Ni at its PBEsol-relaxed geometry.

Lattice parameters (Å, degrees): 3.7133 3.7133 4.5091 114.32 114.32 90.00
With the nearest neighbours (Å) after each atom.
Element x y z (fractional)
Ni 0.2500 0.7500 0.5000  8 Re 2.61-2.63, 4 Fe 2.61
Re 0.5000 0.5000 0.0000  4 Re 2.61, 4 Ni 2.61, 4 Fe 2.63
Re 0.7500 0.2500 0.5000  4 Re 2.61, 4 Fe 2.61, 4 Ni 2.63
Fe 0.0000 0.0000 0.0000  8 Re 2.61-2.63, 4 Ni 2.61

Results
Total magnetic moment (μB/cell): 2.39
DFT total energy (Ry per atom): -3.2433

---

VASP calculation (meta-GGA SCAN) on FeReNi2 at its PBEsol-relaxed geometry.

Lattice parameters (Å, degrees): 2.5585 2.5585 7.1672 90.00 90.00 90.00
With the nearest neighbours (Å) after each atom.
Element x y z (fractional)
Ni 0.0000 0.0000 0.2601  4 Fe 2.50, 4 Ni 2.56, 4 Re 2.60
Re 0.5000 0.5000 0.0000  4 Re 2.56, 8 Ni 2.60
Fe 0.5000 0.5000 0.5000  8 Ni 2.50, 4 Fe 2.56
Ni 0.0000 0.0000 0.7399  4 Fe 2.50, 4 Ni 2.56, 4 Re 2.60

Results
Total magnetic moment (μB/cell): 4.35
DFT total energy (Ry per atom): -2.2355

---

VASP calculation (meta-GGA SCAN) on FeRe2Ni at its PBEsol-relaxed geometry.

Lattice parameters (Å, degrees): 3.6786 3.6786 3.6841 90.00 90.00 90.00
With the nearest neighbours (Å) after each atom.
Element x y z (fractional)
Ni 0.0000 0.0000 0.5000  4 Fe 2.60, 8 Re 2.60
Re 0.5000 0.0000 0.0000  4 Re 2.60, 4 Fe 2.60, 4 Ni 2.60
Re 0.0000 0.5000 0.0000  4 Re 2.60, 4 Ni 2.60, 4 Fe 2.60
Fe 0.5000 0.5000 0.5000  4 Ni 2.60, 8 Re 2.60

Results
Total magnetic moment (μB/cell): 2.17
DFT total energy (Ry per atom): -3.2391

---

VASP calculation (meta-GGA SCAN) on FeRe2Ni at its PBEsol-relaxed geometry.

Lattice parameters (Å, degrees): 2.6173 4.4785 4.4785 109.24 90.00 90.00
With the nearest neighbours (Å) after each atom.
Element x y z (fractional)
Re 0.0000 0.5000 0.0000  4 Re 2.59-2.62, 4 Fe 2.59, 4 Ni 2.59
Re 0.0000 0.0000 0.5000  4 Re 2.59-2.62, 4 Ni 2.59, 4 Fe 2.59
Ni 0.5000 0.5000 0.5000  2 Fe 2.59, 8 Re 2.59, 2 Ni 2.62
Fe 0.5000 0.0000 0.0000  2 Ni 2.59, 8 Re 2.59, 2 Fe 2.62

Results
Total magnetic moment (μB/cell): 2.16
DFT total energy (Ry per atom): -3.2355

---

VASP calculation (meta-GGA SCAN) on FeRe2Ni at its PBEsol-relaxed geometry.

Lattice parameters (Å, degrees): 4.1793 4.1793 4.1793 60.00 60.00 60.00
With the nearest neighbours (Å) after each atom.
Element x y z (fractional)
Ni 0.2500 0.2500 0.2500  4 Re 2.56, 4 Fe 2.56
Fe 0.5000 0.5000 0.5000  4 Ni 2.56, 4 Re 2.56
Re 0.0000 0.0000 0.0000  4 Re 2.56, 4 Ni 2.56
Re 0.7500 0.7500 0.7500  4 Fe 2.56, 4 Re 2.56

Results
Total magnetic moment (μB/cell): 2.59
DFT total energy (Ry per atom): -3.2327

---

VASP calculation (meta-GGA SCAN) on FeRe2Ni at its PBEsol-relaxed geometry.

Lattice parameters (Å, degrees): 3.0576 3.0576 5.4108 90.00 90.00 90.00
With the nearest neighbours (Å) after each atom.
Element x y z (fractional)
Ni 0.5000 0.5000 0.7282  4 Fe 2.42, 5 Re 2.53-2.56
Re 0.5000 0.5000 0.2598  1 Ni 2.53, 4 Fe 2.61, 4 Re 2.63
Fe 0.0000 0.0000 0.5293  4 Ni 2.42, 5 Re 2.45-2.61
Re 0.0000 0.0000 0.9828  1 Fe 2.45, 4 Ni 2.56, 4 Re 2.63

Results
Total magnetic moment (μB/cell): 2.37
DFT total energy (Ry per atom): -3.2391